# 1
VASP calculation (GGA-PBE) on an optimized crystal structure of Tb2ErTl.

```
data_Tb2ErTl
_symmetry_space_group_name_H-M 'R 3 m'
_symmetry_Int_Tables_number 160
_symmetry_space_group_name_Hall 'R 3 -2"'
_cell_length_a 3.6080
_cell_length_b 3.6080
_cell_length_c 32.5607
_cell_angle_alpha 90.00
_cell_angle_beta 90.00
_cell_angle_gamma 120.00
loop_
_atom_site_label
_atom_site_type_symbol
_atom_site_fract_x
_atom_site_fract_y
_atom_site_fract_z
Tb1 Tb 0.0000 0.0000 0.0000
Tb2 Tb 0.0000 0.0000 0.1737
Er1 Er 0.0000 0.0000 0.7536
Tl1 Tl 0.0000 0.0000 0.5871
```

## Properties
The calculation puts the energy above the most stable polymorph in this dataset at 68.7 meV per atom. As for the total energy: -4.16 eV/atom. The formation energy comes out at -0.44 eV/f.u. Its crystal system is trigonal. For the density, the calculation gives 9.357 g/cm³.

# 2
VASP calculation (GGA-PBE) on an optimized crystal structure of ErPuInPb.

```
data_ErPuInPb
_symmetry_space_group_name_H-M 'F -4 3 m'
_symmetry_Int_Tables_number 216
_symmetry_space_group_name_Hall 'F -4 2 3'
_cell_length_a 7.6063
_cell_length_b 7.6063
_cell_length_c 7.6063
_cell_angle_alpha 90.00
_cell_angle_beta 90.00
_cell_angle_gamma 90.00
loop_
_atom_site_label
_atom_site_type_symbol
_atom_site_fract_x
_atom_site_fract_y
_atom_site_fract_z
Er1 Er 0.0000 0.0000 0.0000
Pu1 Pu 0.0000 0.0000 0.5000
In1 In 0.2500 0.2500 0.2500
Pb1 Pb 0.2500 0.2500 0.7500
```

## Properties
As for the total energy: -6.57 eV/atom. The formation energy comes out at -0.94 eV/f.u. Its crystal system is cubic. For the density, the calculation gives 11.068 g/cm³.

# 3
VASP calculation (GGA-PBE) on an optimized crystal structure of DyMnVSi2.

```
data_DyMnVSi2
_symmetry_space_group_name_H-M 'I -4 m 2'
_symmetry_Int_Tables_number 119
_symmetry_space_group_name_Hall 'I -4 -2'
_cell_length_a 3.8946
_cell_length_b 3.8946
_cell_length_c 10.7131
_cell_angle_alpha 90.00
_cell_angle_beta 90.00
_cell_angle_gamma 90.00
loop_
_atom_site_label
_atom_site_type_symbol
_atom_site_fract_x
_atom_site_fract_y
_atom_site_fract_z
Dy1 Dy 0.0000 0.0000 0.0000
Mn1 Mn 0.0000 0.5000 0.7500
V1 V 0.0000 0.5000 0.2500
Si1 Si 0.0000 0.0000 0.3870
```

## Properties
The calculation puts the raw formation energy at -593 meV per atom. As for the total energy: -7.34 eV/atom. Its crystal system is tetragonal. For the density, the calculation gives 6.633 g/cm³.

# 4
VASP calculation (GGA-PBE) on an optimized crystal structure of YMgPb2.

```
data_YMgPb2
_symmetry_space_group_name_H-M 'R 3 m'
_symmetry_Int_Tables_number 160
_symmetry_space_group_name_Hall 'R 3 -2"'
_cell_length_a 4.6249
_cell_length_b 4.6249
_cell_length_c 19.5895
_cell_angle_alpha 90.00
_cell_angle_beta 90.00
_cell_angle_gamma 120.00
loop_
_atom_site_label
_atom_site_type_symbol
_atom_site_fract_x
_atom_site_fract_y
_atom_site_fract_z
Y1 Y 0.0000 0.0000 0.0000
Mg1 Mg 0.0000 0.0000 0.8200
Pb1 Pb 0.0000 0.0000 0.4149
Pb2 Pb 0.0000 0.0000 0.5738
```

## Properties
As for the total energy: -4.05 eV/atom. The formation energy comes out at -0.72 eV/f.u. Its crystal system is trigonal. For the density, the calculation gives 7.243 g/cm³.

# 5
VASP calculation (GGA-PBE) on an optimized crystal structure of K3Dy2CrSe6.

```
data_K3Dy2CrSe6
_symmetry_space_group_name_H-M 'C 1 2/m 1'
_symmetry_Int_Tables_number 12
_cell_length_a 7.0810
_cell_length_b 12.2759
_cell_length_c 8.0203
_cell_angle_alpha 90.00
_cell_angle_beta 107.25
_cell_angle_gamma 90.00
loop_
_symmetry_equiv_pos_as_xyz
'x,y,z'
'-x,-y,-z'
'-x,y,-z'
'x,-y,z'
'x+1/2,y+1/2,z'
'-x+1/2,-y+1/2,-z'
'-x+1/2,y+1/2,-z'
'x+1/2,-y+1/2,z'
loop_
_atom_site_label
_atom_site_type_symbol
_atom_site_fract_x
_atom_site_fract_y
_atom_site_fract_z
K1 K 0.0000 0.0000 0.0000
K2 K 0.0000 0.3287 0.0000
Dy1 Dy 0.0000 0.1661 0.5000
Cr1 Cr 0.0000 0.5000 0.5000
Se1 Se 0.2200 0.3454 0.6964
Se2 Se 0.2423 0.5000 0.3024
```

## Properties
The calculation puts the raw formation energy at -1411 meV per atom. As for the total energy: -5.00 eV/atom. Its crystal system is monoclinic. For the density, the calculation gives 4.829 g/cm³.

# 6
VASP calculation (GGA-PBE) on an optimized crystal structure of LiPtW2.

```
data_LiPtW2
_symmetry_space_group_name_H-M 'I -4 m 2'
_symmetry_Int_Tables_number 119
_symmetry_space_group_name_Hall 'I -4 -2'
_cell_length_a 4.4033
_cell_length_b 4.4033
_cell_length_c 6.2194
_cell_angle_alpha 90.00
_cell_angle_beta 90.00
_cell_angle_gamma 90.00
loop_
_atom_site_label
_atom_site_type_symbol
_atom_site_fract_x
_atom_site_fract_y
_atom_site_fract_z
Li1 Li 0.0000 0.0000 0.0000
Pt1 Pt 0.0000 0.5000 0.2500
W1 W 0.0000 0.0000 0.5000
W2 W 0.0000 0.5000 0.7500
```

## Properties
The calculation puts the energy above the most stable polymorph in this dataset at 125.0 meV per atom. As for the total energy: -8.31 eV/atom. The formation energy comes out at 0.61 eV/f.u. Its crystal system is tetragonal. For the density, the calculation gives 15.690 g/cm³.

# 7
VASP calculation (GGA-PBE) on an optimized crystal structure of CsCaBiB2.

```
data_CsCaBiB2
_symmetry_space_group_name_H-M 'P 4/m m m'
_symmetry_Int_Tables_number 123
_symmetry_space_group_name_Hall '-P 4 2'
_cell_length_a 4.9784
_cell_length_b 4.9784
_cell_length_c 6.5837
_cell_angle_alpha 90.00
_cell_angle_beta 90.00
_cell_angle_gamma 90.00
loop_
_atom_site_label
_atom_site_type_symbol
_atom_site_fract_x
_atom_site_fract_y
_atom_site_fract_z
Cs1 Cs 0.0000 0.0000 0.0000
Ca1 Ca 0.5000 0.5000 0.0000
Bi1 Bi 0.0000 0.0000 0.5000
B1 B 0.0000 0.5000 0.5000
```

## Properties
As for the total energy: -2.27 eV/atom. The formation energy comes out at 8.76 eV/f.u. Its crystal system is tetragonal. For the density, the calculation gives 4.107 g/cm³.

# 8
VASP calculation (GGA-PBE) on an optimized crystal structure of Cd2TcSeO.

```
data_Cd2TcSeO
_symmetry_space_group_name_H-M 'P 4/m m m'
_symmetry_Int_Tables_number 123
_symmetry_space_group_name_Hall '-P 4 2'
_cell_length_a 4.9691
_cell_length_b 4.9691
_cell_length_c 3.8344
_cell_angle_alpha 90.00
_cell_angle_beta 90.00
_cell_angle_gamma 90.00
loop_
_atom_site_label
_atom_site_type_symbol
_atom_site_fract_x
_atom_site_fract_y
_atom_site_fract_z
Cd1 Cd 0.0000 0.5000 0.0000
Tc1 Tc 0.0000 0.0000 0.5000
Se1 Se 0.5000 0.5000 0.5000
O1 O 0.0000 0.0000 0.0000
```

## Properties
The calculation puts the raw formation energy at 104 meV per atom. As for the total energy: -4.02 eV/atom. Its crystal system is tetragonal. For the density, the calculation gives 7.327 g/cm³.

# 9
VASP calculation (GGA-PBE) on an optimized crystal structure of SrLiSmI6.

```
data_SrLiSmI6
_symmetry_space_group_name_H-M 'P -3 1 c'
_symmetry_Int_Tables_number 163
_symmetry_space_group_name_Hall '-P 3 2c'
_cell_length_a 7.7940
_cell_length_b 7.7940
_cell_length_c 14.4691
_cell_angle_alpha 90.00
_cell_angle_beta 90.00
_cell_angle_gamma 120.00
loop_
_atom_site_label
_atom_site_type_symbol
_atom_site_fract_x
_atom_site_fract_y
_atom_site_fract_z
Sr1 Sr 0.0000 0.0000 0.0000
Li1 Li 0.3333 0.6667 0.2500
Sm1 Sm 0.3333 0.6667 0.7500
I1 I 0.0067 0.3563 0.1298
```

## Properties
The calculation puts the raw formation energy at -1428 meV per atom. As for the total energy: -3.39 eV/atom. Its crystal system is trigonal. For the density, the calculation gives 4.391 g/cm³.

# 10
VASP calculation (GGA-PBE) on an optimized crystal structure of CaPr8.

```
data_CaPr8
_symmetry_space_group_name_H-M 'C 1 2/m 1'
_symmetry_Int_Tables_number 12
_cell_length_a 6.4576
_cell_length_b 11.1952
_cell_length_c 9.1098
_cell_angle_alpha 90.00
_cell_angle_beta 90.08
_cell_angle_gamma 90.00
loop_
_symmetry_equiv_pos_as_xyz
'x,y,z'
'-x,-y,-z'
'-x,y,-z'
'x,-y,z'
'x+1/2,y+1/2,z'
'-x+1/2,-y+1/2,-z'
'-x+1/2,y+1/2,-z'
'x+1/2,-y+1/2,z'
loop_
_atom_site_label
_atom_site_type_symbol
_atom_site_fract_x
_atom_site_fract_y
_atom_site_fract_z
Ca1 Ca 0.0000 0.0000 0.0000
Pr1 Pr 0.0000 0.3333 0.0000
Pr2 Pr 0.1608 0.5000 0.3359
Pr3 Pr 0.1690 0.1693 0.3360
```

## Properties
The calculation puts the energy above the most stable polymorph in this dataset at 3.5 meV per atom. As for the total energy: -4.44 eV/atom. The formation energy comes out at 0.27 eV/f.u. Its crystal system is monoclinic. For the density, the calculation gives 5.887 g/cm³.

Copy entry 9 word for word.
VASP calculation (GGA-PBE) on an optimized crystal structure of SrLiSmI6.

```
data_SrLiSmI6
_symmetry_space_group_name_H-M 'P -3 1 c'
_symmetry_Int_Tables_number 163
_symmetry_space_group_name_Hall '-P 3 2c'
_cell_length_a 7.7940
_cell_length_b 7.7940
_cell_length_c 14.4691
_cell_angle_alpha 90.00
_cell_angle_beta 90.00
_cell_angle_gamma 120.00
loop_
_atom_site_label
_atom_site_type_symbol
_atom_site_fract_x
_atom_site_fract_y
_atom_site_fract_z
Sr1 Sr 0.0000 0.0000 0.0000
Li1 Li 0.3333 0.6667 0.2500
Sm1 Sm 0.3333 0.6667 0.7500
I1 I 0.0067 0.3563 0.1298
```

## Properties
The calculation puts the raw formation energy at -1428 meV per atom. As for the total energy: -3.39 eV/atom. Its crystal system is trigonal. For the density, the calculation gives 4.391 g/cm³.